Entry from Alexandria: an optimized crystal structure of MnSe2S (PBE).

a b c (Å): 6.876 6.876 6.876
angles (deg): 127.76 127.76 77.01
Positions (direct):
1 Mn 0.000 0.000 0.000
2 Mn 0.750 0.250 0.500
3 Se 0.078 0.625 0.953
4 Se 0.375 0.328 0.453
5 Se 0.672 0.125 0.047
6 Se 0.875 0.922 0.547
7 S 0.250 0.750 0.500
8 S 0.500 0.500 0.000

Values from the calculation:
Calculated total energy (eV per cell): -38.65
Uncorrected formation energy (meV per atom): 235